# PrAl6 (GGA-PBE, relaxed)
data_PrAl6
_cell_length_a 5.980
_cell_length_b 5.980
_cell_length_c 7.980
_cell_angle_alpha 90.00
_cell_angle_beta 90.00
_cell_angle_gamma 90.00
_space_group_name_H-M_alt 'P 1'
_space_group_IT_number 1
loop_
_space_group_symop_operation_xyz
'x,y,z'
loop_
_atom_site_label
_atom_site_type_symbol
_atom_site_fract_x
_atom_site_fract_y
_atom_site_fract_z
Pr1 Pr 0.250 0.750 0.000
Pr2 Pr 0.750 0.250 0.000
Al1 Al 0.070 0.570 0.355
Al2 Al 0.070 0.930 0.645
Al3 Al 0.250 0.250 0.161
Al4 Al 0.250 0.250 0.839
Al5 Al 0.430 0.570 0.645
Al6 Al 0.430 0.930 0.355
Al7 Al 0.570 0.070 0.645
Al8 Al 0.570 0.430 0.355
Al9 Al 0.750 0.750 0.161
Al10 Al 0.750 0.750 0.839
Al11 Al 0.930 0.070 0.355
Al12 Al 0.930 0.430 0.645
# - Magnetization: 0.00 μB per cell
# - Formation enthalpy at 0 K: -0.204 eV per atom
# - Energy above the lowest structure with this stoichiometry: 0.0 meV/atom
# - Uncorrected energy: -4.095 eV per atom